# PBE Tb2Nd5Y5, relaxed
data_Tb2Nd5Y5
_chemical_formula_sum 'Tb4 Nd10 Y10'
_symmetry_space_group_name_H-M 'C 1 2/m 1'
_symmetry_Int_Tables_number 12
_cell_length_a 15.331
_cell_length_b 5.116
_cell_length_c 11.430
_cell_angle_alpha 90.00
_cell_angle_beta 116.61
_cell_angle_gamma 90.00
loop_
_symmetry_equiv_pos_as_xyz
'x,y,z'
'-x,-y,-z'
'-x,y,-z'
'x,-y,z'
'x+1/2,y+1/2,z'
'-x+1/2,-y+1/2,-z'
'-x+1/2,y+1/2,-z'
'x+1/2,-y+1/2,z'
loop_
_atom_site_label
_atom_site_type_symbol
_atom_site_fract_x
_atom_site_fract_y
_atom_site_fract_z
Tb1 Tb 0.083 0.000 0.250
Nd1 Nd 0.000 0.500 0.000
Nd2 Nd 0.083 0.500 0.750
Nd3 Nd 0.167 0.500 0.499
Y1 Y 0.000 0.000 0.500
Y2 Y 0.167 0.000 0.001
Y3 Y 0.249 0.500 0.248
# **Excess energy over the best structure of this formula in the dataset**: 0.0 meV/atom
# **Formation energy from the elements**: 0.0160 eV per atom


# PBE LaAl2Pb, relaxed
data_LaAl2Pb
_chemical_formula_sum 'La2 Al4 Pb2'
_symmetry_space_group_name_H-M 'I 4/m m m'
_symmetry_Int_Tables_number 139
_symmetry_space_group_name_Hall '-I 4 2'
_cell_length_a 4.547
_cell_length_b 4.547
_cell_length_c 9.852
_cell_angle_alpha 90.00
_cell_angle_beta 90.00
_cell_angle_gamma 90.00
loop_
_atom_site_label
_atom_site_type_symbol
_atom_site_fract_x
_atom_site_fract_y
_atom_site_fract_z
La1 La 0.000 0.000 0.000
Al1 Al 0.000 0.500 0.250
Pb1 Pb 0.000 0.000 0.500
# **Formation energy from the elements**: -0.1743 eV per atom


# PBE YCr2SiAg, relaxed
data_YCr2SiAg
_chemical_formula_sum 'Y1 Cr2 Si1 Ag1'
_symmetry_space_group_name_H-M 'P 4/m m m'
_symmetry_Int_Tables_number 123
_symmetry_space_group_name_Hall '-P 4 2'
_cell_length_a 4.540
_cell_length_b 4.540
_cell_length_c 5.335
_cell_angle_alpha 90.00
_cell_angle_beta 90.00
_cell_angle_gamma 90.00
loop_
_atom_site_label
_atom_site_type_symbol
_atom_site_fract_x
_atom_site_fract_y
_atom_site_fract_z
Y1 Y 0.000 0.000 0.000
Cr1 Cr 0.000 0.500 0.500
Si1 Si 0.000 0.000 0.500
Ag1 Ag 0.500 0.500 0.000
# **Raw formation energy**: 0.5636 eV per atom


# PBE Ge2SBr, relaxed
data_Ge2SBr
_chemical_formula_sum 'Ge8 S4 Br4'
_symmetry_space_group_name_H-M 'I -4 2 d'
_symmetry_Int_Tables_number 122
_symmetry_space_group_name_Hall 'I -4 2bw'
_cell_length_a 6.423
_cell_length_b 6.423
_cell_length_c 12.364
_cell_angle_alpha 90.00
_cell_angle_beta 90.00
_cell_angle_gamma 90.00
loop_
_atom_site_label
_atom_site_type_symbol
_atom_site_fract_x
_atom_site_fract_y
_atom_site_fract_z
Ge1 Ge 0.193 0.250 0.125
S1 S 0.000 0.000 0.000
Br1 Br 0.000 0.000 0.500
# **Excess energy over the best structure of this formula in the dataset**: 0.0 meV/atom
# **Raw formation energy**: 0.1277 eV per atom


Number 1: total magnetization 0.00 μB per atom. Number 2: total magnetization 0.00 μB per atom. Number 3: total magnetization 1.14 μB per atom. Number 4: total magnetization 0.00 μB per atom.